Record 1
Compound: Y2ZnPt2
Source: Alexandria
Functional: PBE-GGA
Structure: optimized geometry

```
Y2ZnPt2
1.0
-5.5863 4.2948 -3.8049
-5.5359 -2.6381 5.1500
0.6644 2.7407 2.1181
Y Zn Pt
4 2 4
Cartesian
-6.5218 -0.7599 3.0290
-8.3461 1.8492 0.2252
-4.6004 2.4166 -1.6839
-2.7761 -0.1925 1.1199
0.0000 0.0000 0.0000
-5.5611 0.8283 0.6726
-3.9018 0.2697 3.8114
-8.0035 1.7935 3.1263
-6.5560 4.1277 -0.3481
-2.4543 2.6039 0.3370
```

Computed properties:
M_tot (μB per atom): 0.000
DFT formation energy (eV per formula unit): -3.70
Uncorrected energy (eV/atom): -6.00

***

Record 2
Compound: YZn6Pt4
Source: Alexandria
Functional: PBE-GGA
Structure: optimized geometry

```
YZn6Pt4
1.0
6.6513 -0.1372 -0.2018
-3.1969 5.8342 0.2018
-3.1969 -1.9573 5.4998
Y Zn Pt
1 6 4
Cartesian
0.0000 0.0000 0.0000
-4.4875 4.0350 3.1083
-4.4875 1.4071 4.8951
3.5799 0.4111 0.6046
1.7272 -1.0473 2.6490
-0.7412 1.7634 2.5933
1.7272 2.8485 0.0000
-2.7097 0.1671 3.4198
1.6585 1.4143 2.0799
-2.7097 3.1189 1.4128
-2.3755 2.9163 4.2888
```

Computed properties:
M_tot (μB per atom): 0.000
DFT formation energy (eV per formula unit): -5.30
Uncorrected energy (eV/atom): -3.96

***

Record 3
Compound: Y2Zn16Pt
Source: Alexandria
Functional: PBE-GGA
Structure: optimized geometry

```
Y2Zn16Pt
1.0
-0.7552 6.7209 0.5694
-0.7484 0.2133 6.7423
6.4473 1.4630 1.5351
Y Zn Pt
2 16 1
Cartesian
3.2990 5.6034 5.9035
1.6693 2.8354 2.9873
0.6016 5.3880 7.5826
3.5822 7.8065 3.6214
5.6884 3.5736 6.4621
0.5996 7.2886 5.7798
5.6856 6.2710 3.9035
3.5870 3.2086 7.9829
1.3932 3.0822 6.3901
1.3899 6.2202 3.4134
4.8630 3.6848 3.8791
3.5764 5.3451 2.4281
3.5798 2.1468 5.4620
0.0399 4.7309 4.9873
5.3074 8.2774 5.4834
5.3108 5.0452 8.5495
1.7333 7.6568 8.0698
0.5029 0.8542 0.9000
4.4443 7.5487 7.9529
```

Computed properties:
M_tot (μB per atom): 0.000
DFT formation energy (eV per formula unit): -5.68
Uncorrected energy (eV/atom): -2.37

***

Record 4
Compound: Y6Zn2Pt
Source: Alexandria
Functional: PBE-GGA
Structure: optimized geometry

```
Y6Zn2Pt
1.0
7.9429 0.3545 -2.8772
-4.0056 6.9441 -2.6886
-0.0685 -0.3545 8.4477
Y Zn Pt
12 4 2
Cartesian
1.4975 5.0868 3.3295
2.3714 1.8573 -0.4476
-0.4360 1.5028 6.0626
4.3048 5.4413 -3.1807
3.4357 5.2294 0.3269
0.4332 1.7147 2.5550
-1.5206 4.8749 5.3169
5.3895 2.0692 -2.4350
4.0900 2.7423 2.5692
-0.2211 4.2018 0.3126
-1.6380 6.4935 2.3155
5.5069 0.4506 0.5664
2.4172 2.4586 4.9340
1.4517 4.4855 -2.0521
5.0042 0.0000 3.5401
2.8702 0.0000 2.0304
5.9059 3.6493 0.0024
0.0000 0.0000 0.0000
```

Computed properties:
M_tot (μB per atom): 0.000
DFT formation energy (eV per formula unit): -3.76
Uncorrected energy (eV/atom): -5.68

***

Record 5
Compound: Y2Zn2Pt
Source: Alexandria
Functional: PBE-GGA
Structure: optimized geometry

```
Y2Zn2Pt
1.0
-5.2751 -3.5729 2.9193
1.5687 -5.5590 -3.9688
2.6229 -1.4108 3.0128
Y Zn Pt
4 4 2
Cartesian
1.4317 -5.1211 -0.6660
-0.9837 -7.6950 0.2315
-2.5152 -5.4215 2.6294
-0.0999 -2.8477 1.7319
-0.6025 -6.1964 -2.3771
-3.6296 -6.6023 0.0682
-3.1039 -2.9355 1.3276
-0.0768 -2.5296 -1.1177
0.0000 0.0000 0.0000
-1.8532 -4.5659 -0.5247
```

Computed properties:
Offset from the most stable computed form (meV/atom): 122.4
M_tot (μB per atom): 0.000
DFT formation energy (eV per formula unit): -2.85
Uncorrected energy (eV/atom): -4.87

***

Record 6
Compound: Y2ZnPt9
Source: Alexandria
Functional: PBE-GGA
Structure: optimized geometry

```
Y2ZnPt9
1.0
4.0884 0.0000 0.0000
0.0000 4.0884 0.0000
0.0000 0.0000 12.0641
Y Zn Pt
2 1 9
Cartesian
0.0000 0.0000 3.9425
0.0000 0.0000 8.1216
0.0000 0.0000 0.0000
2.0442 2.0442 0.0000
2.0442 2.0442 3.9453
2.0442 2.0442 8.1188
2.0442 0.0000 1.8474
2.0442 0.0000 6.0321
2.0442 0.0000 10.2167
0.0000 2.0442 1.8474
0.0000 2.0442 6.0321
0.0000 2.0442 10.2167
```

Computed properties:
M_tot (μB per atom): 0.000
DFT formation energy (eV per formula unit): -9.21
Uncorrected energy (eV/atom): -6.48

***

Record 7
Compound: Y2Zn5Pt
Source: Alexandria
Functional: PBE-GGA
Structure: optimized geometry

```
Y2Zn5Pt
1.0
4.0506 0.0000 0.0000
-2.0253 8.2266 0.0000
0.0000 0.0000 9.1098
Y Zn Pt
4 10 2
Cartesian
2.0253 5.1902 6.8323
0.0000 3.0364 2.2774
0.0000 0.0000 0.0000
0.0000 0.0000 4.5549
0.0000 3.2338 8.1205
2.0253 4.9928 0.9893
0.0000 3.2338 5.5442
2.0253 4.9928 3.5656
0.0000 5.8473 8.9189
2.0253 2.3793 0.1909
0.0000 5.8473 4.7458
2.0253 2.3793 4.3640
2.0253 1.7481 6.8323
0.0000 6.4784 2.2774
0.0000 7.4135 6.8323
2.0253 0.8131 2.2774
```

Computed properties:
M_tot (μB per atom): 0.000
DFT formation energy (eV per formula unit): -4.19
Uncorrected energy (eV/atom): -3.69

***

Record 8
Compound: Y2ZnPt
Source: Alexandria
Functional: PBE-GGA
Structure: optimized geometry

```
Y2ZnPt
1.0
3.5574 0.0000 0.0000
0.0000 3.5574 0.0000
0.0000 0.0000 6.9848
Y Zn Pt
2 1 1
Cartesian
0.0000 0.0000 6.9386
0.0000 0.0000 3.5386
1.7787 1.7787 1.7462
1.7787 1.7787 5.2386
```

Computed properties:
M_tot (μB per atom): 0.000
DFT formation energy (eV per formula unit): -3.21
Uncorrected energy (eV/atom): -5.86

***

Record 9
Compound: Y2ZnPt
Source: Alexandria
Functional: PBE-GGA
Structure: optimized geometry

```
Y2ZnPt
1.0
-6.4404 3.0539 4.2621
4.3481 -5.9638 -3.8077
7.5645 -3.3260 -0.8283
Y Zn Pt
2 1 1
Cartesian
3.9186 -3.0558 -1.5250
7.9940 -6.2340 -3.1110
0.0000 0.0000 0.0000
5.9563 -4.6449 -2.3180
```

Computed properties:
M_tot (μB per atom): 0.000
DFT formation energy (eV per formula unit): -1.16
Uncorrected energy (eV/atom): -5.35

***

Record 10
Compound: Y3Zn2Pt3
Source: Alexandria
Functional: PBE-GGA
Structure: optimized geometry

```
Y3Zn2Pt3
1.0
-2.9487 -4.7381 0.5916
-1.4501 -0.1204 -8.1916
6.7254 -3.7997 3.0903
Y Zn Pt
6 4 6
Cartesian
-2.6130 -3.5869 -1.8242
1.6032 -6.3883 -3.2452
-0.3495 -4.6055 1.2993
-1.7858 -1.2716 -5.7757
0.7234 -2.2698 -1.2644
4.1262 -3.9322 2.3826
4.0003 -2.5732 -0.6703
-0.1993 -3.7159 -4.1351
1.2751 -1.3468 -4.4309
2.5259 -4.9423 -0.3745
-3.1021 -3.6275 -4.5871
-0.1760 -5.0661 -1.5246
1.9189 -5.8871 2.3416
-1.2967 -1.2310 -3.0128
2.5027 -3.5920 -2.9850
1.8578 -2.6506 1.3403
```

Computed properties:
M_tot (μB per atom): 0.000
DFT formation energy (eV per formula unit): -7.37
Uncorrected energy (eV/atom): -5.93

***

Record 11
Compound: Y2ZnPt4
Source: Alexandria
Functional: PBE-GGA
Structure: optimized geometry

```
Y2ZnPt4
1.0
-0.0200 -0.2713 -4.9636
-2.7587 -3.7532 -1.7309
-3.8925 6.2598 5.6048
Y Zn Pt
2 1 4
Cartesian
-2.8389 -0.8087 -3.3761
-3.8323 3.0441 2.2865
0.0000 0.0000 0.0000
-5.2790 0.2051 -2.1031
-1.3922 2.0303 1.0135
-1.3793 -1.8766 -0.8654
-0.0100 -0.1356 -2.4818
```

Computed properties:
M_tot (μB per atom): 0.000
DFT formation energy (eV per formula unit): -6.14
Uncorrected energy (eV/atom): -6.36

***

Record 12
Compound: YZn4Pt
Source: Alexandria
Functional: PBE-GGA
Structure: optimized geometry

```
YZn4Pt
1.0
4.9740 -1.4937 0.0986
1.2074 -5.0368 -0.3921
2.2570 -1.8012 -4.3178
Y Zn Pt
1 4 1
Cartesian
0.0000 0.0000 0.0000
5.6436 -3.8729 -1.6833
4.2925 -4.0258 -3.8795
3.7706 -5.6348 -1.9273
3.1701 -3.1301 -1.7323
6.3288 -6.2488 -3.4584
```

Computed properties:
Offset from the most stable computed form (meV/atom): 55.9
M_tot (μB per atom): 0.000
DFT formation energy (eV per formula unit): -2.40
Uncorrected energy (eV/atom): -3.33

***

Record 13
Compound: Y3ZnPt12
Source: Alexandria
Functional: PBE-GGA
Structure: optimized geometry

```
Y3ZnPt12
1.0
4.0999 0.0000 0.0000
0.0000 4.0999 0.0000
0.0000 0.0000 16.1743
Y Zn Pt
3 1 12
Cartesian
0.0000 0.0000 3.9355
0.0000 0.0000 8.0872
0.0000 0.0000 12.2388
0.0000 0.0000 0.0000
2.0499 2.0499 0.0000
2.0499 2.0499 3.9230
2.0499 2.0499 8.0872
2.0499 2.0499 12.2513
2.0499 0.0000 1.8388
2.0499 0.0000 6.0106
2.0499 0.0000 10.1637
2.0499 0.0000 14.3355
0.0000 2.0499 1.8388
0.0000 2.0499 6.0106
0.0000 2.0499 10.1637
0.0000 2.0499 14.3355
```

Computed properties:
M_tot (μB per atom): 0.000
DFT formation energy (eV per formula unit): -13.21
Uncorrected energy (eV/atom): -6.65

***

Record 14
Compound: YZn2Pt
Source: Alexandria
Functional: PBE-GGA
Structure: optimized geometry

```
YZn2Pt
1.0
5.1767 -2.9812 2.3682
-2.1977 5.5548 -2.3682
0.5091 -3.6002 5.2984
Y Zn Pt
1 2 1
Cartesian
0.0000 0.0000 0.0000
4.0794 -4.7219 5.5006
1.6064 -1.8594 2.1661
2.8429 -3.2907 3.8333
```

Computed properties:
M_tot (μB per atom): 0.000
DFT formation energy (eV per formula unit): -1.56
Uncorrected energy (eV/atom): -4.15

***

Record 15
Compound: Y3ZnPt3
Source: Alexandria
Functional: PBE-GGA
Structure: optimized geometry

```
Y3ZnPt3
1.0
-0.1052 -3.2616 -2.5339
4.6058 3.0813 -0.7892
6.7872 -7.6839 9.6086
Y Zn Pt
6 2 6
Cartesian
7.8597 -6.2987 7.7810
3.4280 -1.5655 -1.4956
5.9048 -4.0855 5.0135
5.3829 -3.7787 1.2720
9.3638 -4.4015 5.2766
1.9239 -3.4626 1.0089
-0.0526 -1.6308 -1.2670
3.3410 -5.4727 3.5373
9.8489 -7.4238 5.7783
1.4388 -0.4404 0.5071
7.6944 -4.9846 2.7282
3.5933 -2.8796 3.5572
7.2500 -6.6889 4.9405
4.0377 -1.1752 1.3450
```

Computed properties:
M_tot (μB per atom): 0.000
DFT formation energy (eV per formula unit): -7.65
Uncorrected energy (eV/atom): -6.63

***

Record 16
Compound: Y2ZnPt2
Source: Alexandria
Functional: PBE-GGA
Structure: optimized geometry

```
Y2ZnPt2
1.0
5.7343 0.0000 0.0000
0.0000 7.1104 0.0000
-2.8672 -3.5552 5.5964
Y Zn Pt
4 2 4
Cartesian
2.8672 2.4210 3.9552
0.0000 1.1342 1.6412
2.8672 5.9762 1.6412
0.0000 -2.4210 3.9552
4.3007 3.5552 0.0000
1.4336 3.5552 0.0000
0.0000 1.8353 4.3791
2.8672 1.7199 1.2173
0.0000 5.3905 1.2173
2.8672 -1.8353 4.3791
```

Computed properties:
M_tot (μB per atom): 0.000
DFT formation energy (eV per formula unit): -4.78
Uncorrected energy (eV/atom): -6.21

***

Record 17
Compound: YZn9Pt2
Source: Alexandria
Functional: PBE-GGA
Structure: optimized geometry

```
YZn9Pt2
1.0
-5.7360 0.8158 3.7948
-5.5556 -6.0427 -0.7783
0.3512 -3.2807 7.5563
Y Zn Pt
2 18 4
Cartesian
-2.8680 0.4079 1.8974
-4.0362 -4.4577 4.3377
-6.9042 -4.0499 6.2351
0.0000 0.0000 0.0000
-4.8835 -7.7259 4.3973
-3.7678 -1.1072 4.6610
-4.6040 -2.4168 6.8387
-6.9153 -6.0085 4.1171
-8.6528 -6.3149 6.6011
-1.7086 -2.2750 3.5887
-5.4159 -6.5349 2.0608
-2.0775 -2.4629 6.2316
-7.2250 -5.6473 8.6157
-3.1364 -2.9426 1.5740
-1.9490 -4.9138 6.9527
-5.5444 -4.0840 1.3397
-3.4557 -7.0583 6.4120
-5.1956 -1.7749 2.6464
-7.0438 -3.5576 3.3960
-4.4754 -4.8676 7.5598
-6.1445 -3.2574 8.7931
-9.0979 -4.6384 4.6258
-6.3201 -1.6170 5.0149
-6.0543 -6.6866 6.5065
```

Computed properties:
M_tot (μB per atom): 0.000
DFT formation energy (eV per formula unit): -4.71
Uncorrected energy (eV/atom): -2.89

***

Record 18
Compound: YZn2Pt2
Source: Alexandria
Functional: PBE-GGA
Structure: optimized geometry

```
YZn2Pt2
1.0
-0.5696 7.0171 2.9343
-6.1513 1.3056 -4.3164
-1.7159 -1.0314 2.1334
Y Zn Pt
2 4 4
Cartesian
0.0000 0.0000 0.0000
-3.3605 4.1614 -0.6911
-5.6481 3.8383 -2.6872
-4.2997 7.0002 -0.0741
-1.0728 4.4844 1.3051
-2.4212 1.3225 -1.3080
-5.1418 1.6333 -1.3400
-6.2907 5.3252 -0.4792
-3.2950 5.6581 2.0912
-2.1461 1.9662 1.2304
```

Computed properties:
Offset from the most stable computed form (meV/atom): 111.9
M_tot (μB per atom): 0.000
DFT formation energy (eV per formula unit): -3.53
Uncorrected energy (eV/atom): -4.92

***

Record 19
Compound: Y2Zn2Pt
Source: Alexandria
Functional: PBE-GGA
Structure: optimized geometry

```
Y2Zn2Pt
1.0
-3.7238 -1.0202 4.0542
1.3171 -5.4391 -0.1590
1.3569 -2.6825 4.4368
Y Zn Pt
2 2 1
Cartesian
-1.7851 -3.4662 5.2194
0.7353 -5.6757 3.1127
-0.4041 -3.0589 2.7247
-0.6457 -6.0830 5.6074
0.0000 0.0000 0.0000
```

Computed properties:
Offset from the most stable computed form (meV/atom): 389.3
M_tot (μB per atom): 0.000
DFT formation energy (eV per formula unit): -1.51
Uncorrected energy (eV/atom): -4.61

***

Record 20
Compound: Y3ZnPt2
Source: Alexandria
Functional: PBE-GGA
Structure: optimized geometry

```
Y3ZnPt2
1.0
4.0213 0.0000 0.0000
0.0000 11.7304 0.0000
0.0000 0.0000 11.8804
Y Zn Pt
12 4 8
Cartesian
1.0053 4.3869 0.5659
3.0160 7.3435 11.3145
3.0160 10.2521 5.3743
1.0053 1.4783 6.5061
1.0053 7.9573 2.4706
3.0160 3.7731 9.4098
3.0160 2.0921 3.4696
1.0053 9.6383 8.4108
1.0053 4.9840 4.3638
3.0160 6.7464 7.5166
3.0160 10.8492 1.5764
1.0053 0.8812 10.3040
1.0053 1.4157 1.4217
3.0160 10.3147 10.4586
3.0160 7.2809 4.5184
1.0053 4.4495 7.3619
1.0053 8.1236 5.9211
3.0160 3.6068 5.9593
3.0160 2.2584 0.0191
1.0053 9.4720 11.8612
1.0053 0.0271 3.7339
3.0160 11.7033 8.1465
3.0160 5.8923 2.2063
1.0053 5.8381 9.6741
```

Computed properties:
M_tot (μB per atom): 0.000
DFT formation energy (eV per formula unit): -5.57
Uncorrected energy (eV/atom): -6.39

***

Record 21
Compound: Y2ZnPt2
Source: Alexandria
Functional: PBE-GGA
Structure: optimized geometry

```
Y2ZnPt2
1.0
5.4964 0.0000 0.0000
0.0000 5.4964 0.0000
2.7482 2.7482 3.8716
Y Zn Pt
2 1 2
Cartesian
5.4964 2.7482 1.9358
2.7482 5.4964 1.9358
0.0000 0.0000 0.0000
2.7482 2.7482 1.3039
5.4964 5.4964 2.5677
```

Computed properties:
M_tot (μB per atom): 0.000
DFT formation energy (eV per formula unit): -4.16
Uncorrected energy (eV/atom): -6.09